Density functional theory data (GGA-PBE) for crystalline LaCu2Tc at its relaxed geometry.

Summary:
Energy above the lowest structure with this stoichiometry: 205 meV/atom
Calculated formation energy: 308 meV/atom
Volume: 70 Å³ per cell

Cell lengths 5.4331, 5.4331, 5.4331 Å; angles 143.58, 132.03, 61.69 degrees
Last column: nearest neighbours and their distance in Å.
Fractional coordinates of all 4 atoms:
La  0.0000  0.0000  0.0000  4 Tc 2.79, 8 Cu 3.03-3.09
Cu  0.2685  0.7685  0.5000  2 Tc 2.75, 4 Cu 2.81, 2 La 3.03
Cu  0.7315  0.2315  0.5000  2 Tc 2.75, 4 Cu 2.81, 2 La 3.03
Tc  0.5000  0.5000  0.0000  4 Cu 2.75, 4 La 2.79